Below is a relaxed GaNiAs2O6 crystal, with properties calculated at the PBE+U level.

Results
mass density = 5.06 g/cm³
magnetization = 2.533 μB per cell
crystal system = monoclinic
DOS(E_F) = 5.342 states/eV/cell
total energy = -5.6065 eV per atom

Cell lengths 5.268, 7.324, 7.324 Å; angles 65.36, 75.69, 75.69 degrees
Element x y z (fractional)
Ga 0.250 0.251 0.749
Ga 0.750 0.749 0.251
Ni 0.250 0.885 0.115
Ni 0.750 0.115 0.885
As 0.301 0.865 0.603
As 0.199 0.397 0.135
As 0.699 0.135 0.397
As 0.801 0.603 0.865
O 0.141 0.997 0.817
O 0.359 0.183 0.003
O 0.859 0.003 0.183
O 0.641 0.817 0.997
O 0.410 0.757 0.395
O 0.090 0.605 0.243
O 0.590 0.243 0.605
O 0.910 0.395 0.757
O 0.975 0.790 0.643
O 0.525 0.357 0.210
O 0.025 0.210 0.357
O 0.475 0.643 0.790